Model 1:
# MoSeI2

Crystalline MoSeI2 at its relaxed geometry (GGA-PBE, Alexandria).

a b c (Å): 5.1856 5.1856 5.1856
angles (deg): 60.00 60.00 60.00
Last column: nearest neighbours and their distance in Å.
Fractional coordinates of all 4 atoms:
I  0.2500  0.2500  0.2500  4 Mo 3.18, 4 Se 3.18
I  0.7500  0.7500  0.7500  4 Mo 3.18, 4 Se 3.18
Mo  0.5000  0.5000  0.5000  8 I 3.18
Se  0.0000  0.0000  0.0000  8 I 3.18

Total moment (μB per atom): 0.50


Model 2:
# MoSeI2

Crystalline MoSeI2 at its relaxed geometry (GGA-PBE, Alexandria).

a b c (Å): 10.2630 10.2630 7.6467
angles (deg): 47.85 47.85 90.00
Last column: nearest neighbours and their distance in Å.
Fractional coordinates of all 8 atoms:
I  0.7723  0.1250  0.2500  2 Mo 2.84
I  0.9777  0.6250  0.2500  2 Mo 2.84
I  0.3750  0.2277  0.7500  2 Mo 2.84
I  0.8750  0.0223  0.7500  2 Mo 2.84
Mo  0.0000  0.0000  0.0000  2 Se 2.41
Mo  0.7500  0.2500  0.5000  2 Se 2.41
Se  0.5000  0.5000  0.0000  2 Mo 2.41
Se  0.2500  0.7500  0.5000  2 Mo 2.41

Total moment (μB per atom): 0.00


Energies, relative to the best one, in meV/atom: model 1 839; model 2 0.


Model 1:
# Mo3SeI

Crystalline Mo3SeI at its relaxed geometry (GGA-PBE, Alexandria).

a b c (Å): 4.9030 4.9030 4.9030
angles (deg): 90.00 90.00 90.00
Last column: nearest neighbours and their distance in Å.
Fractional coordinates of all 5 atoms:
I  0.0000  0.0000  0.0000  6 Mo 2.45
Mo  0.0000  0.5000  0.0000  2 I 2.45
Mo  0.0000  0.0000  0.5000  2 I 2.45
Mo  0.5000  0.0000  0.0000  2 I 2.45
Se  0.5000  0.5000  0.5000  12 Mo 3.47

Total moment (μB per atom): 0.00


Model 2:
# Mo3SeI

Crystalline Mo3SeI at its relaxed geometry (GGA-PBE, Alexandria).

a b c (Å): 4.7114 4.7114 4.7114
angles (deg): 90.00 90.00 90.00
Last column: nearest neighbours and their distance in Å.
Fractional coordinates of all 5 atoms:
I  0.5000  0.5000  0.5000  12 Mo 3.33
Mo  0.0000  0.5000  0.0000  2 Se 2.36
Mo  0.0000  0.0000  0.5000  2 Se 2.36
Mo  0.5000  0.0000  0.0000  2 Se 2.36
Se  0.0000  0.0000  0.0000  6 Mo 2.36

Total moment (μB per atom): 0.00


Energies, relative to the best one, in meV/atom: model 1 816; model 2 0.


Model 1:
# Te2MoSeI

Crystalline Te2MoSeI at its relaxed geometry (GGA-PBE, Alexandria).

a b c (Å): 5.5074 5.5074 5.5488
angles (deg): 90.00 90.00 90.00
Last column: nearest neighbours and their distance in Å.
Fractional coordinates of all 5 atoms:
I  0.0000  0.0000  0.5000  2 Se 2.77
Mo  0.5000  0.5000  0.5000  4 I 3.89, 8 Te 3.91
Te  0.0000  0.5000  0.0000  2 Se 2.75
Te  0.5000  0.0000  0.0000  2 Se 2.75
Se  0.0000  0.0000  0.0000  4 Te 2.75, 2 I 2.77

Total moment (μB per atom): 0.83


Model 2:
# Te2MoSeI

Crystalline Te2MoSeI at its relaxed geometry (GGA-PBE, Alexandria).

a b c (Å): 5.2657 5.2657 5.3721
angles (deg): 90.00 90.00 90.00
Last column: nearest neighbours and their distance in Å.
Fractional coordinates of all 5 atoms:
I  0.0000  0.0000  0.5000  2 Mo 2.69
Mo  0.0000  0.0000  0.0000  4 Te 2.63, 2 I 2.69
Te  0.0000  0.5000  0.0000  2 Mo 2.63
Te  0.5000  0.0000  0.0000  2 Mo 2.63
Se  0.5000  0.5000  0.5000  4 I 3.72, 8 Te 3.76

Total moment (μB per atom): 0.00


Energies, relative to the best one, in meV/atom: model 1 571; model 2 0.


Model 1:
# TeMoSeI2

Crystalline TeMoSeI2 at its relaxed geometry (GGA-PBE, Alexandria).

a b c (Å): 5.3755 5.3755 5.3063
angles (deg): 90.00 90.00 90.00
Last column: nearest neighbours and their distance in Å.
Fractional coordinates of all 5 atoms:
I  0.0000  0.5000  0.0000  2 Mo 2.69
I  0.5000  0.0000  0.0000  2 Mo 2.69
Mo  0.0000  0.0000  0.0000  2 Te 2.65, 4 I 2.69
Te  0.0000  0.0000  0.5000  2 Mo 2.65
Se  0.5000  0.5000  0.5000  8 I 3.78, 4 Te 3.80

Total moment (μB per atom): 0.00


Model 2:
# TeMoSeI2

Crystalline TeMoSeI2 at its relaxed geometry (GGA-PBE, Alexandria).

a b c (Å): 5.6144 5.6144 5.6714
angles (deg): 90.00 90.00 90.00
Last column: nearest neighbours and their distance in Å.
Fractional coordinates of all 5 atoms:
I  0.0000  0.5000  0.0000  2 Se 2.81
I  0.5000  0.0000  0.0000  2 Se 2.81
Mo  0.5000  0.5000  0.5000  4 Te 3.97, 8 I 3.99
Te  0.0000  0.0000  0.5000  2 Se 2.84
Se  0.0000  0.0000  0.0000  4 I 2.81, 2 Te 2.84

Total moment (μB per atom): 0.87


Energies, relative to the best one, in meV/atom: model 1 0; model 2 502.


Model 1:
# SiMoI2

Crystalline SiMoI2 at its relaxed geometry (GGA-PBE, Alexandria).

a b c (Å): 7.0580 7.0580 7.0957
angles (deg): 60.18 60.18 90.00
Last column: nearest neighbours and their distance in Å.
Fractional coordinates of all 8 atoms:
I  0.6624  0.1250  0.2500  2 Mo 2.64
I  0.0876  0.6250  0.2500  2 Mo 2.64
I  0.3750  0.3376  0.7500  2 Mo 2.64
I  0.8750  0.9124  0.7500  2 Mo 2.64
Mo  0.0000  0.0000  0.0000  4 I 2.64
Mo  0.7500  0.2500  0.5000  4 I 2.64
Si  0.5000  0.5000  0.0000  4 I 2.97
Si  0.2500  0.7500  0.5000  4 I 2.97

Total moment (μB per atom): 0.00


Model 2:
# SiMoI2

Crystalline SiMoI2 at its relaxed geometry (GGA-PBE, Alexandria).

a b c (Å): 4.9470 4.9470 4.9470
angles (deg): 60.00 60.00 60.00
Last column: nearest neighbours and their distance in Å.
Fractional coordinates of all 4 atoms:
I  0.2500  0.2500  0.2500  4 Mo 3.03, 4 Si 3.03
I  0.7500  0.7500  0.7500  4 Mo 3.03, 4 Si 3.03
Mo  0.5000  0.5000  0.5000  8 I 3.03
Si  0.0000  0.0000  0.0000  8 I 3.03

Total moment (μB per atom): 0.00


Energies, relative to the best one, in meV/atom: model 1 189; model 2 0.


Model 1:
# SiMo2I

Crystalline SiMo2I at its relaxed geometry (GGA-PBE, Alexandria).

a b c (Å): 4.5302 4.5302 4.5302
angles (deg): 60.00 60.00 60.00
Last column: nearest neighbours and their distance in Å.
Fractional coordinates of all 4 atoms:
I  0.5000  0.5000  0.5000  8 Mo 2.77
Mo  0.2500  0.2500  0.2500  4 I 2.77, 4 Si 2.77
Mo  0.7500  0.7500  0.7500  4 Si 2.77, 4 I 2.77
Si  0.0000  0.0000  0.0000  8 Mo 2.77

Total moment (μB per atom): 0.00


Model 2:
# SiMo2I

Crystalline SiMo2I at its relaxed geometry (GGA-PBE, Alexandria).

a b c (Å): 4.5049 4.5049 8.8351
angles (deg): 75.23 75.23 90.00
Last column: nearest neighbours and their distance in Å.
Fractional coordinates of all 8 atoms:
I  0.0000  0.0000  0.0000  4 Mo 2.78
I  0.7500  0.2500  0.5000  4 Mo 2.78
Mo  0.5431  0.1250  0.2500  2 Si 2.47, 2 Mo 2.71
Mo  0.2069  0.6250  0.2500  2 Si 2.47, 2 Mo 2.71
Mo  0.3750  0.4569  0.7500  2 Si 2.47, 2 Mo 2.71
Mo  0.8750  0.7931  0.7500  2 Si 2.47, 2 Mo 2.71
Si  0.5000  0.5000  0.0000  4 Mo 2.47
Si  0.2500  0.7500  0.5000  4 Mo 2.47

Total moment (μB per atom): 0.00


Energies, relative to the best one, in meV/atom: model 1 0; model 2 312.


Model 1:
# Si3MoI

Crystalline Si3MoI at its relaxed geometry (GGA-PBE, Alexandria).

a b c (Å): 5.1951 5.1951 5.1951
angles (deg): 90.00 90.00 90.00
Last column: nearest neighbours and their distance in Å.
Fractional coordinates of all 5 atoms:
I  0.0000  0.0000  0.0000  6 Si 2.60
Mo  0.5000  0.5000  0.5000  12 Si 3.67
Si  0.0000  0.5000  0.0000  2 I 2.60
Si  0.0000  0.0000  0.5000  2 I 2.60
Si  0.5000  0.0000  0.0000  2 I 2.60

Total moment (μB per atom): 0.88


Model 2:
# Si3MoI

Crystalline Si3MoI at its relaxed geometry (GGA-PBE, Alexandria).

a b c (Å): 4.8690 4.8690 4.8690
angles (deg): 90.00 90.00 90.00
Last column: nearest neighbours and their distance in Å.
Fractional coordinates of all 5 atoms:
I  0.5000  0.5000  0.5000  12 Si 3.44
Mo  0.0000  0.0000  0.0000  6 Si 2.43
Si  0.0000  0.5000  0.0000  2 Mo 2.43
Si  0.0000  0.0000  0.5000  2 Mo 2.43
Si  0.5000  0.0000  0.0000  2 Mo 2.43

Total moment (μB per atom): 0.13


Energies, relative to the best one, in meV/atom: model 1 1666; model 2 0.